No. 1
! PBE-GGA SmPaHgPd, relaxed; values from VASP
&SYSTEM
  ibrav = 0, nat = 4, ntyp = 4
/
ATOMIC_SPECIES
Sm 150.36 Sm.upf
Pa 231.04 Pa.upf
Hg 200.59 Hg.upf
Pd 106.42 Pd.upf
ATOMIC_POSITIONS crystal
Sm 0.000 0.000 0.000
Pa 0.500 0.500 0.500
Hg 0.750 0.750 0.750
Pd 0.250 0.250 0.250
CELL_PARAMETERS angstrom
0.000 3.652 3.652
3.652 0.000 3.652
3.652 3.652 0.000
! - D(E_F) (states/eV per atom) = 1.68
! - M_tot (μB/f.u.) = 1.0
! - crystal system = cubic
! - E_form (eV per atom) = -0.209

=====

No. 2
! PBE-GGA LiAcHoTc, relaxed; values from VASP
&SYSTEM
  ibrav = 0, nat = 4, ntyp = 4
/
ATOMIC_SPECIES
Li 6.94 Li.upf
Ac 227.00 Ac.upf
Ho 164.93 Ho.upf
Tc 98.00 Tc.upf
ATOMIC_POSITIONS crystal
Li 0.000 0.000 0.000
Ac 0.750 0.750 0.750
Ho 0.250 0.250 0.250
Tc 0.500 0.500 0.500
CELL_PARAMETERS angstrom
0.000 3.623 3.623
3.623 0.000 3.623
3.623 3.623 0.000
! - D(E_F) (states/eV per atom) = 1.10
! - M_tot (μB/f.u.) = 0.0
! - crystal system = cubic
! - E_form (eV per atom) = 0.090

=====

No. 3
! PBE-GGA HoTmZnRu, relaxed; values from VASP
&SYSTEM
  ibrav = 0, nat = 4, ntyp = 4
/
ATOMIC_SPECIES
Ho 164.93 Ho.upf
Tm 168.93 Tm.upf
Zn 65.41 Zn.upf
Ru 101.07 Ru.upf
ATOMIC_POSITIONS crystal
Ho 0.000 0.000 0.000
Tm 0.500 0.500 0.500
Zn 0.250 0.250 0.250
Ru 0.750 0.750 0.750
CELL_PARAMETERS angstrom
0.000 3.443 3.443
3.443 0.000 3.443
3.443 3.443 0.000
! - D(E_F) (states/eV per atom) = 0.85
! - M_tot (μB/f.u.) = 0.0
! - energy above the most stable polymorph in this dataset (eV per formula unit) = 0.194
! - crystal system = cubic
! - E_form (eV per atom) = -0.394

=====

No. 4
! PBE-GGA MgTl2Rh2, relaxed; values from VASP
&SYSTEM
  ibrav = 0, nat = 10, ntyp = 3
/
ATOMIC_SPECIES
Mg 24.30 Mg.upf
Tl 204.38 Tl.upf
Rh 102.91 Rh.upf
ATOMIC_POSITIONS crystal
Mg 0.000 0.000 0.000
Mg 0.500 0.500 0.000
Tl 0.163 0.337 0.500
Tl 0.337 0.837 0.500
Tl 0.663 0.163 0.500
Tl 0.837 0.663 0.500
Rh 0.140 0.640 0.000
Rh 0.360 0.140 0.000
Rh 0.640 0.860 0.000
Rh 0.860 0.360 0.000
CELL_PARAMETERS angstrom
7.023 0.000 0.000
0.000 7.023 0.000
0.000 0.000 3.907
! - D(E_F) (states/eV per atom) = 0.57
! - M_tot (μB/f.u.) = 0.0
! - crystal system = tetragonal
! - E_form (eV per atom) = -0.097

=====

No. 5
! PBE-GGA ZrSc2TlS, relaxed; values from VASP
&SYSTEM
  ibrav = 0, nat = 5, ntyp = 4
/
ATOMIC_SPECIES
Zr 91.22 Zr.upf
Sc 44.96 Sc.upf
Tl 204.38 Tl.upf
S 32.06 S.upf
ATOMIC_POSITIONS crystal
Zr 0.000 0.000 0.000
Sc 0.000 0.500 0.500
Sc 0.500 0.000 0.500
Tl 0.500 0.500 0.000
S 0.000 0.000 0.500
CELL_PARAMETERS angstrom
4.799 0.000 0.000
0.000 4.799 0.000
0.000 0.000 4.885
! - D(E_F) (states/eV per atom) = 0.79
! - M_tot (μB/f.u.) = 0.0
! - energy above the most stable polymorph in this dataset (eV per formula unit) = 0.000
! - crystal system = tetragonal
! - energy relative to the elements, uncorrected (eV per atom) = -0.702

=====

No. 6
! PBE-GGA Ca3Ga4Rh2, relaxed; values from VASP
&SYSTEM
  ibrav = 0, nat = 9, ntyp = 3
/
ATOMIC_SPECIES
Ca 40.08 Ca.upf
Ga 69.72 Ga.upf
Rh 102.91 Rh.upf
ATOMIC_POSITIONS crystal
Ca 0.000 0.000 0.000
Ca 0.380 0.380 0.306
Ca 0.620 0.620 0.694
Ga 0.103 0.103 0.412
Ga 0.277 0.277 0.924
Ga 0.723 0.723 0.076
Ga 0.897 0.897 0.588
Rh 0.311 0.311 0.641
Rh 0.689 0.689 0.359
CELL_PARAMETERS angstrom
5.381 -2.203 0.000
5.381 2.203 0.000
-2.208 0.000 8.134
! - D(E_F) (states/eV per atom) = 0.56
! - M_tot (μB/f.u.) = 0.0
! - energy above the most stable polymorph in this dataset (eV per formula unit) = 0.000
! - crystal system = monoclinic
! - E_form (eV per atom) = -0.609

=====

No. 7
! PBE-GGA NdY3Hg4, relaxed; values from VASP
&SYSTEM
  ibrav = 0, nat = 8, ntyp = 3
/
ATOMIC_SPECIES
Nd 144.24 Nd.upf
Y 88.91 Y.upf
Hg 200.59 Hg.upf
ATOMIC_POSITIONS crystal
Nd 0.000 0.000 0.000
Y 0.000 0.000 0.500
Y 0.500 0.500 0.000
Y 0.500 0.500 0.500
Hg 0.000 0.500 0.259
Hg 0.000 0.500 0.741
Hg 0.500 0.000 0.259
Hg 0.500 0.000 0.741
CELL_PARAMETERS angstrom
5.279 0.000 0.000
0.000 5.279 0.000
0.000 0.000 7.613
! - D(E_F) (states/eV per atom) = 1.00
! - M_tot (μB/f.u.) = 0.7
! - crystal system = tetragonal
! - E_form (eV per atom) = -0.496

=====

No. 8
! PBE-GGA HfPS2O, relaxed; values from VASP
&SYSTEM
  ibrav = 0, nat = 5, ntyp = 4
/
ATOMIC_SPECIES
Hf 178.49 Hf.upf
P 30.97 P.upf
S 32.06 S.upf
O 16.00 O.upf
ATOMIC_POSITIONS crystal
Hf 0.000 0.000 0.000
P 0.000 0.000 0.500
S 0.000 0.500 0.000
S 0.500 0.000 0.000
O 0.500 0.500 0.500
CELL_PARAMETERS angstrom
4.802 0.000 0.000
0.000 4.802 0.000
0.000 0.000 5.188
! - D(E_F) (states/eV per atom) = 2.08
! - M_tot (μB/f.u.) = 0.0
! - energy above the most stable polymorph in this dataset (eV per formula unit) = 2.378
! - crystal system = tetragonal
! - energy relative to the elements, uncorrected (eV per atom) = 0.511

=====

No. 9
! PBE-GGA K2ZrAl, relaxed; values from VASP
&SYSTEM
  ibrav = 0, nat = 4, ntyp = 3
/
ATOMIC_SPECIES
K 39.10 K.upf
Zr 91.22 Zr.upf
Al 26.98 Al.upf
ATOMIC_POSITIONS crystal
K 0.250 0.750 0.500
K 0.750 0.250 0.500
Zr 0.000 0.000 0.000
Al 0.500 0.500 0.000
CELL_PARAMETERS angstrom
-2.187 2.187 6.242
2.187 -2.187 6.242
2.187 2.187 -6.242
! - D(E_F) (states/eV per atom) = 0.58
! - M_tot (μB/f.u.) = 1.1
! - crystal system = tetragonal
! - E_form (eV per atom) = 0.667

=====

No. 10
! PBE-GGA PPb, relaxed; values from VASP
&SYSTEM
  ibrav = 0, nat = 12, ntyp = 2
/
ATOMIC_SPECIES
P 30.97 P.upf
Pb 207.20 Pb.upf
ATOMIC_POSITIONS crystal
P 0.064 0.372 0.250
P 0.308 0.936 0.250
P 0.372 0.308 0.750
P 0.628 0.692 0.250
P 0.692 0.064 0.750
P 0.936 0.628 0.750
Pb 0.099 0.652 0.250
Pb 0.348 0.448 0.250
Pb 0.448 0.099 0.750
Pb 0.552 0.901 0.250
Pb 0.652 0.552 0.750
Pb 0.901 0.348 0.750
CELL_PARAMETERS angstrom
10.912 0.000 0.000
-5.456 9.450 0.000
0.000 0.000 4.323
! - D(E_F) (states/eV per atom) = 0.54
! - M_tot (μB/f.u.) = 0.0
! - crystal system = hexagonal
! - E_form (eV per atom) = 0.386

=====

No. 11
! PBE-GGA LaBPt4, relaxed; values from VASP
&SYSTEM
  ibrav = 0, nat = 12, ntyp = 3
/
ATOMIC_SPECIES
La 138.91 La.upf
B 10.81 B.upf
Pt 195.08 Pt.upf
ATOMIC_POSITIONS crystal
La 0.196 0.196 0.296
La 0.804 0.804 0.704
B 0.459 0.459 0.684
B 0.541 0.541 0.316
Pt 0.163 0.647 0.109
Pt 0.241 0.759 0.500
Pt 0.277 0.277 0.757
Pt 0.353 0.837 0.891
Pt 0.647 0.163 0.109
Pt 0.723 0.723 0.243
Pt 0.759 0.241 0.500
Pt 0.837 0.353 0.891
CELL_PARAMETERS angstrom
4.939 -2.899 0.000
4.939 2.899 0.000
-3.182 0.000 7.138
! - D(E_F) (states/eV per atom) = 0.48
! - M_tot (μB/f.u.) = 0.0
! - crystal system = monoclinic
! - E_form (eV per atom) = -0.723

=====

No. 12
! PBE-GGA KBe2PdAu, relaxed; values from VASP
&SYSTEM
  ibrav = 0, nat = 5, ntyp = 4
/
ATOMIC_SPECIES
K 39.10 K.upf
Be 9.01 Be.upf
Pd 106.42 Pd.upf
Au 196.97 Au.upf
ATOMIC_POSITIONS crystal
K 0.000 0.000 0.000
Be 0.000 0.500 0.500
Be 0.500 0.000 0.500
Pd 0.500 0.500 0.500
Au 0.500 0.500 0.000
CELL_PARAMETERS angstrom
4.423 0.000 0.000
0.000 4.423 0.000
0.000 0.000 5.344
! - D(E_F) (states/eV per atom) = 0.29
! - M_tot (μB/f.u.) = 0.0
! - crystal system = tetragonal
! - E_form (eV per atom) = 0.224